USnIrAu: optimized geometry, PBE-GGA.

Lattice parameters (Å, degrees): 4.8696 4.8696 4.8696 60.00 60.00 60.00
Atoms (fractional coordinates):
U 0.0000 0.0000 0.0000
Sn 0.5000 0.5000 0.5000
Ir 0.7500 0.7500 0.7500
Au 0.2500 0.2500 0.2500

Properties
**E_tot**: -7.05 eV per atom
**M_tot**: 1.863 μB per cell